Entry 1:
The following is a PBE calculation of a geometry-optimized Pr4Ho4Tm structure, from Alexandria.

a = 8.9522 Å, b = 8.9522 Å, c = 6.8485 Å
α = 112.14°, β = 112.14°, γ = 36.71°
Closest atoms and distances in Å follow each position.
Element x y z (fractional)
1 Pr 0.1324 0.1324 0.4558  4 Ho 3.29-3.40, 3 Pr 3.52-3.55
2 Pr 0.2806 0.2806 0.2140  2 Ho 3.40-3.63, 1 Tm 3.46, 3 Pr 3.52-3.55
3 Pr 0.7194 0.7194 0.7860  2 Ho 3.40-3.63, 1 Tm 3.46, 3 Pr 3.52-3.55
4 Pr 0.8676 0.8676 0.5442  4 Ho 3.29-3.40, 3 Pr 3.52-3.55
5 Ho 0.0710 0.0710 0.8714  3 Pr 3.29-3.40, 3 Ho 3.38-3.51, 2 Tm 3.67
6 Ho 0.3801 0.3801 0.8324  2 Ho 3.38, 3 Pr 3.40-3.63, 1 Tm 3.61
7 Ho 0.6199 0.6199 0.1676  2 Ho 3.38, 3 Pr 3.40-3.63, 1 Tm 3.61
8 Ho 0.9290 0.9290 0.1286  3 Pr 3.29-3.40, 3 Ho 3.38-3.51, 2 Tm 3.67
9 Tm 0.5000 0.5000 0.5000  6 Pr 3.46-3.69, 6 Ho 3.61-3.67

## Properties
Relative energy among the computed polymorphs, meV per atom: 87.4
Calculated formation energy, meV per atom: 108

=====

Entry 2:
The following is a PBE calculation of a geometry-optimized Pr12HoTm5 structure, from Alexandria.

a = 10.9155 Å, b = 10.9155 Å, c = 5.1735 Å
α = 90.00°, β = 90.00°, γ = 90.58°
Closest atoms and distances in Å follow each position.
Element x y z (fractional)
1 Pr 0.0029 0.6694 0.5000  4 Tm 3.61, 8 Pr 3.66-3.70
2 Pr 0.1636 0.1636 0.0000  4 Tm 3.61, 8 Pr 3.66-3.70
3 Pr 0.1689 0.5022 0.0000  3 Tm 3.61-3.62, 1 Ho 3.61, 8 Pr 3.66-3.70
4 Pr 0.3306 0.9971 0.5000  4 Tm 3.61, 8 Pr 3.66-3.70
5 Pr 0.3353 0.3353 0.5000  2 Tm 3.62, 2 Ho 3.62, 8 Pr 3.66-3.69
6 Pr 0.4978 0.8311 0.0000  3 Tm 3.61-3.62, 1 Ho 3.61, 8 Pr 3.66-3.70
7 Pr 0.5022 0.1689 0.0000  3 Tm 3.61-3.62, 1 Ho 3.61, 8 Pr 3.66-3.70
8 Pr 0.6647 0.6647 0.5000  2 Tm 3.62, 2 Ho 3.62, 8 Pr 3.66-3.69
9 Pr 0.6694 0.0029 0.5000  4 Tm 3.61, 8 Pr 3.66-3.70
10 Pr 0.8311 0.4978 0.0000  3 Tm 3.61-3.62, 1 Ho 3.61, 8 Pr 3.66-3.70
11 Pr 0.8364 0.8364 0.0000  4 Tm 3.61, 8 Pr 3.66-3.70
12 Pr 0.9971 0.3306 0.5000  4 Tm 3.61, 8 Pr 3.66-3.70
13 Ho 0.5000 0.5000 0.0000  8 Pr 3.61-3.62, 4 Tm 3.66
14 Tm 0.0000 0.0000 0.5000  8 Pr 3.61, 4 Tm 3.66
15 Tm 0.1671 0.8329 0.0000  8 Pr 3.61, 4 Tm 3.65-3.66
16 Tm 0.3335 0.6665 0.5000  8 Pr 3.61-3.62, 2 Tm 3.65, 2 Ho 3.66
17 Tm 0.6665 0.3335 0.5000  8 Pr 3.61-3.62, 2 Tm 3.65, 2 Ho 3.66
18 Tm 0.8329 0.1671 0.0000  8 Pr 3.61, 4 Tm 3.65-3.66

## Properties
Calculated formation energy, meV per atom: 28

=====

Entry 3:
The following is a PBE calculation of a geometry-optimized PrHo5Tm structure, from Alexandria.

a = 7.8980 Å, b = 7.8980 Å, c = 7.8980 Å
α = 137.25°, β = 113.93°, γ = 81.96°
Closest atoms and distances in Å follow each position.
Element x y z (fractional)
1 Pr 0.0000 0.0000 0.0000  6 Ho 2.79-2.92
2 Ho 0.0000 0.5000 0.5000  2 Pr 2.88
3 Ho 0.2450 0.2450 0.0000  1 Pr 2.92, 1 Tm 3.04
4 Ho 0.3237 0.0000 0.3237  1 Pr 2.79, 1 Ho 3.04
5 Ho 0.6763 0.0000 0.6763  1 Pr 2.79, 1 Ho 3.04
6 Ho 0.7550 0.7550 0.0000  1 Pr 2.92, 1 Tm 3.04
7 Tm 0.5000 0.5000 0.0000  6 Ho 3.04-3.25

## Properties
Relative energy among the computed polymorphs, meV per atom: 999.0
Calculated formation energy, meV per atom: 1104

=====

Entry 4:
The following is a PBE calculation of a geometry-optimized Pr2Ho5Tm3 structure, from Alexandria.

a = 12.2655 Å, b = 12.2655 Å, c = 12.2655 Å
α = 135.09°, β = 56.17°, γ = 148.05°
Closest atoms and distances in Å follow each position.
Element x y z (fractional)
1 Pr 0.1248 0.1045 0.2293  1 Ho 2.89
2 Pr 0.3752 0.6045 0.9797  1 Ho 2.89
3 Pr 0.6248 0.3955 0.0203  1 Ho 2.89
4 Pr 0.8752 0.8955 0.7707  1 Ho 2.89
5 Ho 0.0016 0.7500 0.2516  4 Ho 3.27-3.38, 2 Pr 3.37
6 Ho 0.1244 0.4129 0.5373  1 Pr 2.89, 1 Tm 3.16
7 Ho 0.2500 0.7500 0.5000  6 Ho 3.28-3.38
8 Ho 0.3756 0.9129 0.2885  1 Pr 2.89, 1 Tm 3.16
9 Ho 0.4984 0.7500 0.7484  4 Ho 3.27-3.38, 2 Pr 3.37
10 Ho 0.5016 0.2500 0.2516  4 Ho 3.27-3.38, 2 Pr 3.37
11 Ho 0.6244 0.0871 0.7115  1 Pr 2.89, 1 Tm 3.16
12 Ho 0.7500 0.2500 0.5000  6 Ho 3.28-3.38
13 Ho 0.8756 0.5871 0.4627  1 Pr 2.89, 1 Tm 3.16
14 Ho 0.9984 0.2500 0.7484  4 Ho 3.27-3.38, 2 Pr 3.37
15 Tm 0.1240 0.7500 0.8740  1 Ho 3.16, 1 Pr 3.32
16 Tm 0.2500 0.2500 0.0000  4 Pr 3.33, 2 Tm 3.38
17 Tm 0.3760 0.2500 0.6260  1 Ho 3.16, 1 Pr 3.32
18 Tm 0.6240 0.7500 0.3740  1 Ho 3.16, 1 Pr 3.32
19 Tm 0.7500 0.7500 0.0000  4 Pr 3.33, 2 Tm 3.38
20 Tm 0.8760 0.2500 0.1260  1 Ho 3.16, 1 Pr 3.32

## Properties
Relative energy among the computed polymorphs, meV per atom: 225.5
Calculated formation energy, meV per atom: 422

=====

Entry 5:
The following is a PBE calculation of a geometry-optimized Pr5Ho3Tm3 structure, from Alexandria.

a = 11.2859 Å, b = 11.2859 Å, c = 3.4610 Å
α = 90.00°, β = 90.00°, γ = 120.00°
Closest atoms and distances in Å follow each position.
Element x y z (fractional)
1 Pr 0.0000 0.6622 0.0000  2 Tm 3.30, 2 Ho 3.39, 2 Pr 3.46
2 Pr 0.3333 0.6667 0.0000  5 Pr 3.46-3.74, 6 Ho 3.85
3 Pr 0.3378 0.3378 0.0000  2 Tm 3.30, 2 Ho 3.39, 2 Pr 3.46
4 Pr 0.6622 0.0000 0.0000  2 Tm 3.30, 2 Ho 3.39, 2 Pr 3.46
5 Pr 0.6667 0.3333 0.0000  5 Pr 3.46-3.74, 6 Ho 3.85
6 Ho 0.0000 0.4035 0.5000  2 Tm 3.26, 2 Pr 3.39, 2 Ho 3.46
7 Ho 0.4035 0.0000 0.5000  2 Tm 3.26, 2 Pr 3.39, 2 Ho 3.46
8 Ho 0.5965 0.5965 0.5000  2 Tm 3.26, 2 Pr 3.39, 2 Ho 3.46
9 Tm 0.0000 0.1590 0.0000  4 Tm 3.11-3.46, 2 Ho 3.26, 2 Pr 3.30
10 Tm 0.1590 0.0000 0.0000  4 Tm 3.11-3.46, 2 Ho 3.26, 2 Pr 3.30
11 Tm 0.8410 0.8410 0.0000  4 Tm 3.11-3.46, 2 Ho 3.26, 2 Pr 3.30

## Properties
Calculated formation energy, meV per atom: 309

=====

Entry 6:
The following is a PBE calculation of a geometry-optimized Pr11Ho9Tm4 structure, from Alexandria.

a = 15.4676 Å, b = 15.4676 Å, c = 3.6618 Å
α = 90.00°, β = 90.00°, γ = 113.20°
Closest atoms and distances in Å follow each position.
Element x y z (fractional)
1 Pr 0.0000 0.0000 0.0000  8 Ho 3.56, 2 Pr 3.66
2 Pr 0.0426 0.4047 0.0000  2 Tm 3.41, 6 Ho 3.57-3.73, 3 Pr 3.66-3.67
3 Pr 0.1604 0.8396 0.0000  4 Pr 3.66-3.85, 8 Ho 3.76-3.79
4 Pr 0.2935 0.2935 0.0000  4 Tm 3.32, 2 Pr 3.66, 4 Ho 3.68
5 Pr 0.3689 0.6311 0.0000  4 Tm 3.33, 4 Ho 3.62, 2 Pr 3.66
6 Pr 0.4047 0.0426 0.0000  2 Tm 3.41, 6 Ho 3.57-3.73, 3 Pr 3.66-3.67
7 Pr 0.5953 0.9574 0.0000  2 Tm 3.41, 6 Ho 3.57-3.73, 3 Pr 3.66-3.67
8 Pr 0.6311 0.3689 0.0000  4 Tm 3.33, 4 Ho 3.62, 2 Pr 3.66
9 Pr 0.7065 0.7065 0.0000  4 Tm 3.32, 2 Pr 3.66, 4 Ho 3.68
10 Pr 0.8396 0.1604 0.0000  4 Pr 3.66-3.85, 8 Ho 3.76-3.79
11 Pr 0.9574 0.5953 0.0000  2 Tm 3.41, 6 Ho 3.57-3.73, 3 Pr 3.66-3.67
12 Ho 0.0694 0.2143 0.5000  1 Tm 3.50, 8 Pr 3.56-3.79, 3 Ho 3.66-3.74
13 Ho 0.1663 0.6299 0.5000  3 Ho 3.47-3.66, 1 Tm 3.48, 8 Pr 3.57-3.76
14 Ho 0.2143 0.0694 0.5000  1 Tm 3.50, 8 Pr 3.56-3.79, 3 Ho 3.66-3.74
15 Ho 0.3701 0.8337 0.5000  3 Ho 3.47-3.66, 1 Tm 3.48, 8 Pr 3.57-3.76
16 Ho 0.5000 0.5000 0.5000  2 Ho 3.66, 4 Tm 3.76, 8 Pr 3.85-3.96
17 Ho 0.6299 0.1663 0.5000  3 Ho 3.47-3.66, 1 Tm 3.48, 8 Pr 3.57-3.76
18 Ho 0.7857 0.9306 0.5000  1 Tm 3.50, 8 Pr 3.56-3.79, 3 Ho 3.66-3.74
19 Ho 0.8337 0.3701 0.5000  3 Ho 3.47-3.66, 1 Tm 3.48, 8 Pr 3.57-3.76
20 Ho 0.9306 0.7857 0.5000  1 Tm 3.50, 8 Pr 3.56-3.79, 3 Ho 3.66-3.74
21 Tm 0.2405 0.4446 0.5000  6 Pr 3.32-3.41, 2 Ho 3.48-3.50, 2 Tm 3.66
22 Tm 0.4446 0.2405 0.5000  6 Pr 3.32-3.41, 2 Ho 3.48-3.50, 2 Tm 3.66
23 Tm 0.5554 0.7595 0.5000  6 Pr 3.32-3.41, 2 Ho 3.48-3.50, 2 Tm 3.66
24 Tm 0.7595 0.5554 0.5000  6 Pr 3.32-3.41, 2 Ho 3.48-3.50, 2 Tm 3.66

## Properties
Calculated formation energy, meV per atom: 55